Entry 1:
# NaSbHPd2 (GGA-PBE, relaxed)
data_NaSbHPd2
_cell_length_a 4.214
_cell_length_b 4.214
_cell_length_c 4.180
_cell_angle_alpha 90.00
_cell_angle_beta 90.00
_cell_angle_gamma 90.00
_space_group_name_H-M_alt 'P 1'
_space_group_IT_number 1
loop_
_space_group_symop_operation_xyz
'x,y,z'
loop_
_atom_site_label
_atom_site_fract_x
_atom_site_fract_y
_atom_site_fract_z
Sb1 0.500 0.500 0.500
H1 0.000 0.000 0.000
Pd1 0.000 0.500 0.000
Pd2 0.500 0.000 0.000
Na1 0.000 0.000 0.500
# Crystal system = tetragonal

Entry 2:
# NdGdPbAu (GGA-PBE, relaxed)
data_NdGdPbAu
_cell_length_a 5.369
_cell_length_b 5.369
_cell_length_c 5.369
_cell_angle_alpha 60.00
_cell_angle_beta 60.00
_cell_angle_gamma 60.00
_space_group_name_H-M_alt 'P 1'
_space_group_IT_number 1
loop_
_space_group_symop_operation_xyz
'x,y,z'
loop_
_atom_site_label
_atom_site_fract_x
_atom_site_fract_y
_atom_site_fract_z
Pb1 0.500 0.500 0.500
Nd1 0.250 0.250 0.250
Gd1 0.750 0.750 0.750
Au1 0.000 0.000 0.000
# Energy relative to the elements = -0.632 eV per atom
# Crystal system = cubic

Entry 3:
# Nd5InPd2 (GGA-PBE, relaxed)
data_Nd5InPd2
_cell_length_a 8.135
_cell_length_b 8.135
_cell_length_c 8.980
_cell_angle_alpha 116.93
_cell_angle_beta 116.93
_cell_angle_gamma 90.00
_space_group_name_H-M_alt 'P 1'
_space_group_IT_number 1
loop_
_space_group_symop_operation_xyz
'x,y,z'
loop_
_atom_site_label
_atom_site_fract_x
_atom_site_fract_y
_atom_site_fract_z
Nd1 0.518 0.700 0.717
Nd2 0.800 0.982 0.283
Nd3 0.000 0.000 0.000
Nd4 0.500 0.500 0.000
Nd5 0.200 0.018 0.717
Nd6 0.700 0.200 0.717
Nd7 0.018 0.518 0.717
Nd8 0.300 0.800 0.283
Nd9 0.982 0.482 0.283
Nd10 0.482 0.300 0.283
In1 0.750 0.750 0.500
In2 0.250 0.250 0.500
Pd1 0.131 0.369 0.000
Pd2 0.631 0.131 0.000
Pd3 0.369 0.869 0.000
Pd4 0.869 0.631 0.000
# Energy relative to the elements = -0.519 eV per atom
# Crystal system = tetragonal

Entry 4:
# FeAu3 (GGA-PBE, relaxed)
data_FeAu3
_cell_length_a 2.872
_cell_length_b 3.750
_cell_length_c 6.262
_cell_angle_alpha 90.00
_cell_angle_beta 90.00
_cell_angle_gamma 90.00
_space_group_name_H-M_alt 'P 1'
_space_group_IT_number 1
loop_
_space_group_symop_operation_xyz
'x,y,z'
loop_
_atom_site_label
_atom_site_fract_x
_atom_site_fract_y
_atom_site_fract_z
Au1 0.000 0.000 0.021
Au2 0.000 0.000 0.479
Au3 0.500 0.500 0.750
Fe1 0.500 0.500 0.250
# Energy relative to the elements = 0.110 eV per atom
# Crystal system = orthorhombic

Entry 5:
# NbHg2Mo (GGA-PBE, relaxed)
data_NbHg2Mo
_cell_length_a 6.108
_cell_length_b 6.108
_cell_length_c 7.417
_cell_angle_alpha 65.69
_cell_angle_beta 65.69
_cell_angle_gamma 90.00
_space_group_name_H-M_alt 'P 1'
_space_group_IT_number 1
loop_
_space_group_symop_operation_xyz
'x,y,z'
loop_
_atom_site_label
_atom_site_fract_x
_atom_site_fract_y
_atom_site_fract_z
Mo1 0.000 0.000 0.000
Mo2 0.750 0.250 0.500
Hg1 0.635 0.125 0.250
Hg2 0.115 0.625 0.250
Hg3 0.375 0.365 0.750
Hg4 0.875 0.885 0.750
Nb1 0.500 0.500 0.000
Nb2 0.250 0.750 0.500
# Energy relative to the elements = 1.953 eV per atom
# Crystal system = tetragonal

Entry 6:
# DyPuPaSn (GGA-PBE, relaxed)
data_DyPuPaSn
_cell_length_a 5.251
_cell_length_b 5.251
_cell_length_c 5.251
_cell_angle_alpha 60.00
_cell_angle_beta 60.00
_cell_angle_gamma 60.00
_space_group_name_H-M_alt 'P 1'
_space_group_IT_number 1
loop_
_space_group_symop_operation_xyz
'x,y,z'
loop_
_atom_site_label
_atom_site_fract_x
_atom_site_fract_y
_atom_site_fract_z
Pa1 0.500 0.500 0.500
Dy1 0.750 0.750 0.750
Sn1 0.000 0.000 0.000
Pu1 0.250 0.250 0.250
# Energy relative to the elements = -0.043 eV per atom
# Crystal system = cubic

Entry 7:
# NaHf4N5 (GGA-PBE, relaxed)
data_NaHf4N5
_cell_length_a 3.215
_cell_length_b 4.507
_cell_length_c 8.621
_cell_angle_alpha 105.15
_cell_angle_beta 100.75
_cell_angle_gamma 90.00
_space_group_name_H-M_alt 'P 1'
_space_group_IT_number 1
loop_
_space_group_symop_operation_xyz
'x,y,z'
loop_
_atom_site_label
_atom_site_fract_x
_atom_site_fract_y
_atom_site_fract_z
Na1 0.000 0.000 0.000
Hf1 0.405 0.405 0.810
Hf2 0.800 0.800 0.601
Hf3 0.200 0.200 0.399
Hf4 0.595 0.595 0.190
N1 0.612 0.112 0.225
N2 0.802 0.302 0.604
N3 0.198 0.698 0.396
N4 0.000 0.500 0.000
N5 0.388 0.888 0.775
# Crystal system = orthorhombic
# Formation energy (no corrections) = -1506.2 kJ/mol of formula units

Entry 8:
# Y5Ni4 (GGA-PBE, relaxed)
data_Y5Ni4
_cell_length_a 8.365
_cell_length_b 8.365
_cell_length_c 6.401
_cell_angle_alpha 90.00
_cell_angle_beta 90.00
_cell_angle_gamma 60.00
_space_group_name_H-M_alt 'P 1'
_space_group_IT_number 1
loop_
_space_group_symop_operation_xyz
'x,y,z'
loop_
_atom_site_label
_atom_site_fract_x
_atom_site_fract_y
_atom_site_fract_z
Y1 0.264 0.736 0.250
Y2 0.000 0.264 0.250
Y3 0.736 0.000 0.250
Y4 0.736 0.264 0.750
Y5 0.000 0.736 0.750
Y6 0.264 0.000 0.750
Y7 0.333 0.333 0.000
Y8 0.667 0.667 0.500
Y9 0.667 0.667 0.000
Y10 0.333 0.333 0.500
Ni1 0.000 0.000 0.000
Ni2 0.000 0.000 0.500
Ni3 0.604 0.396 0.250
Ni4 0.000 0.604 0.250
Ni5 0.396 0.000 0.250
Ni6 0.396 0.604 0.750
Ni7 0.000 0.396 0.750
Ni8 0.604 0.000 0.750
# Energy relative to the elements = -0.250 eV per atom
# Crystal system = hexagonal

Entry 9:
# PmScGa4 (GGA-PBE, relaxed)
data_PmScGa4
_cell_length_a 3.385
_cell_length_b 3.385
_cell_length_c 10.849
_cell_angle_alpha 89.42
_cell_angle_beta 89.42
_cell_angle_gamma 82.18
_space_group_name_H-M_alt 'P 1'
_space_group_IT_number 1
loop_
_space_group_symop_operation_xyz
'x,y,z'
loop_
_atom_site_label
_atom_site_fract_x
_atom_site_fract_y
_atom_site_fract_z
Pm1 0.500 0.500 0.500
Sc1 0.000 0.000 0.000
Ga1 0.508 0.508 0.169
Ga2 0.492 0.492 0.831
Ga3 0.993 0.993 0.697
Ga4 0.007 0.007 0.303
# Energy relative to the elements = -0.360 eV per atom
# Crystal system = monoclinic

Entry 10:
# Sr2Cd6AgRh (GGA-PBE, relaxed)
data_Sr2Cd6AgRh
_cell_length_a 7.106
_cell_length_b 7.106
_cell_length_c 12.990
_cell_angle_alpha 74.13
_cell_angle_beta 74.13
_cell_angle_gamma 60.00
_space_group_name_H-M_alt 'P 1'
_space_group_IT_number 1
loop_
_space_group_symop_operation_xyz
'x,y,z'
loop_
_atom_site_label
_atom_site_fract_x
_atom_site_fract_y
_atom_site_fract_z
Sr1 0.891 0.891 0.328
Sr2 0.109 0.109 0.672
Sr3 0.718 0.718 0.846
Sr4 0.282 0.282 0.154
Cd1 0.924 0.335 0.406
Cd2 0.335 0.924 0.406
Cd3 0.335 0.335 0.406
Cd4 0.076 0.665 0.594
Cd5 0.665 0.076 0.594
Cd6 0.665 0.665 0.594
Cd7 0.658 0.222 0.898
Cd8 0.222 0.658 0.898
Cd9 0.222 0.222 0.898
Cd10 0.342 0.778 0.102
Cd11 0.778 0.342 0.102
Cd12 0.778 0.778 0.102
Ag1 0.574 0.574 0.277
Ag2 0.426 0.426 0.723
Rh1 0.000 0.000 0.000
Rh2 0.500 0.500 0.500
# Energy relative to the elements = -0.185 eV per atom
# Crystal system = trigonal

Entry 11:
# Ca3AgAu4 (GGA-PBE, relaxed)
data_Ca3AgAu4
_cell_length_a 4.041
_cell_length_b 7.115
_cell_length_c 8.216
_cell_angle_alpha 115.66
_cell_angle_beta 104.24
_cell_angle_gamma 90.00
_space_group_name_H-M_alt 'P 1'
_space_group_IT_number 1
loop_
_space_group_symop_operation_xyz
'x,y,z'
loop_
_atom_site_label
_atom_site_fract_x
_atom_site_fract_y
_atom_site_fract_z
Ca1 0.180 0.180 0.361
Ca2 0.820 0.820 0.639
Ca3 0.000 0.500 0.000
Ag1 0.500 0.000 0.000
Au1 0.370 0.567 0.740
Au2 0.630 0.433 0.260
Au3 0.630 0.827 0.260
Au4 0.370 0.173 0.740
# Energy relative to the elements = -0.580 eV per atom
# Crystal system = orthorhombic

Entry 12:
# Ca3Ga2Sn4 (GGA-PBE, relaxed)
data_Ca3Ga2Sn4
_cell_length_a 4.531
_cell_length_b 6.510
_cell_length_c 9.408
_cell_angle_alpha 107.10
_cell_angle_beta 90.00
_cell_angle_gamma 110.36
_space_group_name_H-M_alt 'P 1'
_space_group_IT_number 1
loop_
_space_group_symop_operation_xyz
'x,y,z'
loop_
_atom_site_label
_atom_site_fract_x
_atom_site_fract_y
_atom_site_fract_z
Ca1 0.625 0.250 0.689
Ca2 0.000 0.000 0.000
Ca3 0.375 0.750 0.311
Ga1 0.708 0.415 0.360
Ga2 0.292 0.585 0.640
Sn1 0.699 0.399 0.057
Sn2 0.301 0.601 0.943
Sn3 0.917 0.833 0.617
Sn4 0.083 0.167 0.383
# Energy relative to the elements = -0.448 eV per atom
# Crystal system = monoclinic

| no. | calculated volume (Å³/atom) | density (Mg/m³) | DFT total energy (eV for the cell shown) |
| --- | --- | --- | --- |
| 1 | 14.8 | 8.0 | -20.23 |
| 2 | 27.4 | 10.7 | -28.36 |
| 3 | 28.5 | 7.6 | -82.23 |
| 4 | 16.9 | 15.9 | -17.86 |
| 5 | 28.1 | 8.7 | -27.38 |
| 6 | 25.6 | 12.3 | -32.61 |
| 7 | 11.8 | 11.3 | -98.37 |
| 8 | 21.5 | 5.8 | -115.40 |
| 9 | 20.5 | 6.3 | -25.35 |
| 10 | 26.9 | 6.5 | -41.81 |
| 11 | 25.6 | 8.2 | -26.60 |
| 12 | 27.4 | 4.9 | -32.10 |